# CsPtI2O8 PBE relaxed
# DOS at the Fermi energy	7.2	states/eV per cell
# size of the total moment	0.0000	μB per atom
# calculated volume	233.6	Å³ per cell
# DFT total energy	-4.61	eV per atom
data_CsPtI2O8
_chemical_formula_sum 'Cs1 Pt1 I2 O8'
_cell_length_a 5.7350
_cell_length_b 5.7350
_cell_length_c 8.2014
_cell_angle_alpha 90.00
_cell_angle_beta 90.00
_cell_angle_gamma 120.00
_symmetry_space_group_name_H-M 'P -3'
_symmetry_Int_Tables_number 147
loop_
_symmetry_equiv_pos_as_xyz
'x,y,z'
'-x,-y,-z'
'-y,x-y,z'
'y,-x+y,-z'
'-x+y,-x,z'
'x-y,x,-z'
loop_
_atom_site_label
_atom_site_type_symbol
_atom_site_fract_x
_atom_site_fract_y
_atom_site_fract_z
Cs1 Cs 0.0000 0.0000 0.0000
Pt1 Pt 0.0000 0.0000 0.5000
I1 I 0.3333 0.6667 0.6362
O1 O 0.0072 0.2890 0.6409
O2 O 0.3333 0.6667 0.8544